Computed, not measured: crystalline Ac2CuIO6 at its relaxed geometry at the PBE-GGA level of DFT. Values from VASP.

Output
symmetry = P4mm
crystal system = tetragonal
formation energy from raw total energies = -1707 meV/atom

Cell and atoms, written as Quantum ESPRESSO input:
```
&SYSTEM
  ibrav = 0, nat = 10, ntyp = 4
/
ATOMIC_SPECIES
Ac 227.00 Ac.upf
Cu 63.55 Cu.upf
I 126.90 I.upf
O 16.00 O.upf
CELL_PARAMETERS angstrom
5.467 0.000 0.000
0.000 5.467 0.000
0.000 0.000 5.426
ATOMIC_POSITIONS crystal
Ac 0.000 0.500 0.000
Ac 0.500 0.000 0.000
Cu 0.000 0.000 0.481
I 0.500 0.500 0.607
O 0.000 0.000 0.123
O 0.250 0.250 0.686
O 0.250 0.750 0.686
O 0.500 0.500 0.044
O 0.750 0.250 0.686
O 0.750 0.750 0.686
```

---

Computed, not measured: crystalline AuS2 at its relaxed geometry at the PBE-GGA level of DFT. Values from VASP.

Output
symmetry = I4/mmm
crystal system = tetragonal
formation energy from raw total energies = 238 meV/atom

Cell and atoms, written as Quantum ESPRESSO input:
```
&SYSTEM
  ibrav = 0, nat = 3, ntyp = 2
/
ATOMIC_SPECIES
Au 196.97 Au.upf
S 32.06 S.upf
CELL_PARAMETERS angstrom
-1.797 1.797 4.950
1.797 -1.797 4.950
1.797 1.797 -4.950
ATOMIC_POSITIONS crystal
Au 0.000 0.000 0.000
S 0.235 0.235 0.000
S 0.765 0.765 0.000
```

---

Computed, not measured: crystalline AlCdBr2 at its relaxed geometry at the PBE-GGA level of DFT. Values from VASP.

Output
relative energy among the computed polymorphs = 0.3603 eV/atom
symmetry = Fm-3m
crystal system = cubic
formation energy from raw total energies = -124 meV/atom

Cell and atoms, written as Quantum ESPRESSO input:
```
&SYSTEM
  ibrav = 0, nat = 4, ntyp = 3
/
ATOMIC_SPECIES
Al 26.98 Al.upf
Cd 112.41 Cd.upf
Br 79.90 Br.upf
CELL_PARAMETERS angstrom
0.000 3.772 3.772
3.772 0.000 3.772
3.772 3.772 0.000
ATOMIC_POSITIONS crystal
Al 0.000 0.000 0.000
Cd 0.500 0.500 0.500
Br 0.250 0.250 0.250
Br 0.750 0.750 0.750
```

---

Computed, not measured: crystalline EuDyCdAu at its relaxed geometry at the PBE-GGA level of DFT. Values from VASP.

Output
symmetry = F-43m
formation energy = -0.521 eV per atom
crystal system = cubic

Cell and atoms, written as Quantum ESPRESSO input:
```
&SYSTEM
  ibrav = 0, nat = 4, ntyp = 4
/
ATOMIC_SPECIES
Eu 151.96 Eu.upf
Dy 162.50 Dy.upf
Cd 112.41 Cd.upf
Au 196.97 Au.upf
CELL_PARAMETERS angstrom
0.000 3.737 3.737
3.737 0.000 3.737
3.737 3.737 0.000
ATOMIC_POSITIONS crystal
Eu 0.000 0.000 0.000
Dy 0.500 0.500 0.500
Cd 0.250 0.250 0.250
Au 0.750 0.750 0.750
```

---

Computed, not measured: crystalline DyThTeP at its relaxed geometry at the PBE-GGA level of DFT. Values from VASP.

Output
symmetry = R3m
crystal system = trigonal
formation energy from raw total energies = -1443 meV/atom

Cell and atoms, written as Quantum ESPRESSO input:
```
&SYSTEM
  ibrav = 0, nat = 4, ntyp = 4
/
ATOMIC_SPECIES
Dy 162.50 Dy.upf
Th 232.04 Th.upf
Te 127.60 Te.upf
P 30.97 P.upf
CELL_PARAMETERS angstrom
2.063 1.191 7.383
-2.063 1.191 7.383
0.000 -2.382 7.383
ATOMIC_POSITIONS crystal
Dy 0.000 0.000 0.000
Th 0.804 0.804 0.804
Te 0.237 0.237 0.237
P 0.400 0.400 0.400
```

---

Computed, not measured: crystalline YInHg2 at its relaxed geometry at the PBE-GGA level of DFT. Values from VASP.

Output
symmetry = Immm
formation energy = -0.090 eV per atom
crystal system = orthorhombic

Cell and atoms, written as Quantum ESPRESSO input:
```
&SYSTEM
  ibrav = 0, nat = 4, ntyp = 3
/
ATOMIC_SPECIES
Y 88.91 Y.upf
In 114.82 In.upf
Hg 200.59 Hg.upf
CELL_PARAMETERS angstrom
-1.731 2.732 6.084
1.731 -2.732 6.084
1.731 2.732 -6.084
ATOMIC_POSITIONS crystal
Y 0.000 0.000 0.000
In 0.500 0.500 0.000
Hg 0.253 0.253 0.000
Hg 0.747 0.747 0.000
```

---

Computed, not measured: crystalline Tb2HoU2Ru5 at its relaxed geometry at the PBE-GGA level of DFT. Values from VASP.

Output
symmetry = P4/mbm
formation energy = -0.283 eV per atom
crystal system = tetragonal

Cell and atoms, written as Quantum ESPRESSO input:
```
&SYSTEM
  ibrav = 0, nat = 20, ntyp = 4
/
ATOMIC_SPECIES
Tb 158.93 Tb.upf
Ho 164.93 Ho.upf
U 238.03 U.upf
Ru 101.07 Ru.upf
CELL_PARAMETERS angstrom
10.615 0.000 0.000
0.000 10.615 0.000
0.000 0.000 3.591
ATOMIC_POSITIONS crystal
Tb 0.174 0.326 0.000
Tb 0.326 0.826 0.000
Tb 0.674 0.174 0.000
Tb 0.826 0.674 0.000
Ho 0.000 0.000 0.000
Ho 0.500 0.500 0.000
U 0.135 0.635 0.000
U 0.365 0.135 0.000
U 0.635 0.865 0.000
U 0.865 0.365 0.000
Ru 0.000 0.500 0.500
Ru 0.053 0.787 0.500
Ru 0.213 0.053 0.500
Ru 0.287 0.553 0.500
Ru 0.447 0.287 0.500
Ru 0.500 0.000 0.500
Ru 0.553 0.713 0.500
Ru 0.713 0.447 0.500
Ru 0.787 0.947 0.500
Ru 0.947 0.213 0.500
```

---

Computed, not measured: crystalline AcNd6Sm3 at its relaxed geometry at the PBE-GGA level of DFT. Values from VASP.

Output
relative energy among the computed polymorphs = 0.0000 eV/atom
symmetry = P2_1/m
formation energy = 0.064 eV per atom
crystal system = monoclinic

Cell and atoms, written as Quantum ESPRESSO input:
```
&SYSTEM
  ibrav = 0, nat = 20, ntyp = 3
/
ATOMIC_SPECIES
Ac 227.00 Ac.upf
Nd 144.24 Nd.upf
Sm 150.36 Sm.upf
CELL_PARAMETERS angstrom
12.374 0.000 0.000
0.000 3.660 0.000
-4.009 0.000 15.898
ATOMIC_POSITIONS crystal
Ac 0.134 0.250 0.062
Ac 0.866 0.750 0.938
Nd 0.111 0.250 0.460
Nd 0.115 0.750 0.855
Nd 0.158 0.750 0.274
Nd 0.338 0.750 0.613
Nd 0.359 0.250 0.820
Nd 0.382 0.750 0.021
Nd 0.618 0.250 0.979
Nd 0.641 0.750 0.180
Nd 0.662 0.250 0.387
Nd 0.842 0.250 0.726
Nd 0.885 0.250 0.145
Nd 0.889 0.750 0.540
Sm 0.112 0.250 0.671
Sm 0.384 0.250 0.429
Sm 0.400 0.250 0.217
Sm 0.600 0.750 0.783
Sm 0.616 0.750 0.571
Sm 0.888 0.750 0.329
```

---

Computed, not measured: crystalline LuAs2Pb at its relaxed geometry at the PBE-GGA level of DFT. Values from VASP.

Output
symmetry = R-3m
formation energy = -0.592 eV per atom
crystal system = trigonal

Cell and atoms, written as Quantum ESPRESSO input:
```
&SYSTEM
  ibrav = 0, nat = 4, ntyp = 3
/
ATOMIC_SPECIES
Lu 174.97 Lu.upf
As 74.92 As.upf
Pb 207.20 Pb.upf
CELL_PARAMETERS angstrom
2.063 1.191 7.047
-2.063 1.191 7.047
0.000 -2.382 7.047
ATOMIC_POSITIONS crystal
Lu 0.000 0.000 0.000
As 0.259 0.259 0.259
As 0.741 0.741 0.741
Pb 0.500 0.500 0.500
```

---

Computed, not measured: crystalline Ca2FeRh at its relaxed geometry at the PBE-GGA level of DFT. Values from VASP.

Output
symmetry = R3m
formation energy = -0.101 eV per atom
crystal system = trigonal

Cell and atoms, written as Quantum ESPRESSO input:
```
&SYSTEM
  ibrav = 0, nat = 4, ntyp = 3
/
ATOMIC_SPECIES
Ca 40.08 Ca.upf
Fe 55.84 Fe.upf
Rh 102.91 Rh.upf
CELL_PARAMETERS angstrom
2.074 1.198 7.046
-2.074 1.198 7.046
0.000 -2.395 7.046
ATOMIC_POSITIONS crystal
Ca 0.000 0.000 0.000
Ca 0.179 0.179 0.179
Fe 0.759 0.759 0.759
Rh 0.421 0.421 0.421
```

---

Computed, not measured: crystalline KTaCd2 at its relaxed geometry at the PBE-GGA level of DFT. Values from VASP.

Output
relative energy among the computed polymorphs = 0.2694 eV/atom
symmetry = P2/m
formation energy = 0.664 eV per atom
crystal system = monoclinic

Cell and atoms, written as Quantum ESPRESSO input:
```
&SYSTEM
  ibrav = 0, nat = 4, ntyp = 3
/
ATOMIC_SPECIES
K 39.10 K.upf
Ta 180.95 Ta.upf
Cd 112.41 Cd.upf
CELL_PARAMETERS angstrom
5.740 0.000 0.000
0.000 2.831 0.000
-1.276 0.000 6.004
ATOMIC_POSITIONS crystal
K 0.000 0.000 0.000
Ta 0.500 0.500 0.500
Cd 0.000 0.000 0.500
Cd 0.500 0.500 0.000
```

---

Computed, not measured: crystalline CdIn2Ni at its relaxed geometry at the PBE-GGA level of DFT. Values from VASP.

Output
symmetry = R3m
formation energy = 0.115 eV per atom
crystal system = trigonal

Cell and atoms, written as Quantum ESPRESSO input:
```
&SYSTEM
  ibrav = 0, nat = 4, ntyp = 3
/
ATOMIC_SPECIES
Cd 112.41 Cd.upf
In 114.82 In.upf
Ni 58.69 Ni.upf
CELL_PARAMETERS angstrom
1.860 1.074 7.478
-1.860 1.074 7.478
0.000 -2.148 7.478
ATOMIC_POSITIONS crystal
Cd 0.000 0.000 0.000
In 0.234 0.234 0.234
In 0.434 0.434 0.434
Ni 0.836 0.836 0.836
```

---

Total magnetization for every record listed, in sequence, given in μB per atom: 0.014 0.000 0.000 1.795 0.000 0.000 0.000 0.000 0.000 0.660 0.000 0.000.